Sm8Si3Te4O | PBE-GGA | optimized geometry

The structure in POSCAR format:
```
Sm8Si3Te4O
1.0
8.399 0.000 0.000
0.000 8.683 0.193
-4.200 -4.195 5.942
Sm Si Te O
8 3 4 1
Cartesian
-2.167 2.064 5.955
0.000 4.228 2.891
0.000 0.225 3.127
2.167 2.064 5.955
2.033 2.424 0.180
4.200 4.263 3.009
4.200 0.260 3.244
6.366 2.424 0.180
4.200 4.341 0.097
2.100 2.244 3.068
-2.100 2.244 3.068
4.200 0.000 0.000
2.100 -2.097 2.971
0.000 0.000 0.000
-2.100 -2.097 2.971
0.000 4.341 0.097
```

---

SmTlSiO4 | PBE-GGA | optimized geometry

The structure in POSCAR format:
```
SmTlSiO4
1.0
5.893 0.000 0.118
0.000 5.657 0.000
-2.165 0.000 7.544
Sm Tl Si O
2 2 2 8
Cartesian
3.644 4.243 3.381
0.084 1.414 4.281
2.142 4.243 6.782
1.586 1.414 0.880
0.741 4.243 2.708
2.987 1.414 4.954
4.019 2.704 5.101
-0.291 5.532 2.560
-0.291 2.953 2.560
4.019 0.125 5.101
2.032 4.243 1.703
1.696 1.414 5.959
1.355 4.243 4.248
2.373 1.414 3.414
```

---

SmTl2Si2O6 | PBE-GGA | optimized geometry

The structure in POSCAR format:
```
SmTl2Si2O6
1.0
-3.469 1.871 4.517
-2.396 -3.118 -4.527
3.847 -3.685 4.481
Sm Tl Si O
1 2 2 6
Cartesian
0.189 -0.907 4.499
-2.949 -0.536 1.934
0.931 -4.396 2.536
-2.259 -3.825 3.827
0.241 -1.107 0.644
-1.058 -2.875 4.356
0.136 -0.615 2.184
-0.276 -5.330 -0.158
-2.154 -4.317 2.287
-1.742 0.398 4.629
-0.960 -2.057 0.115
```

---

SmTlSi2O6 | PBE-GGA | optimized geometry

The structure in POSCAR format:
```
SmTlSi2O6
1.0
-4.701 5.499 1.298
-3.973 -1.769 -5.926
-2.138 -3.661 3.468
Sm Tl Si O
2 2 4 12
Cartesian
-4.961 1.838 -0.564
-5.852 -1.769 -0.595
-4.636 -1.401 -3.783
-6.176 1.469 2.624
-3.667 -1.510 2.309
-8.331 0.901 -0.587
-7.146 1.579 -3.468
-2.482 -0.833 -0.572
-6.399 3.564 -0.153
-3.751 2.393 1.293
-4.414 -3.496 -1.006
-7.062 -2.324 -2.452
-1.520 0.560 -0.593
-8.236 1.463 -2.178
-9.293 -0.492 -0.566
-2.577 -1.394 1.019
-4.000 -0.373 -0.974
-5.649 1.330 -2.854
-6.812 0.441 -0.184
-5.164 -1.262 1.696
```

---

SmUSi2O8 | PBE-GGA | optimized geometry

The structure in POSCAR format:
```
SmUSi2O8
1.0
-2.453 -5.002 1.803
3.376 -0.403 -4.768
3.481 1.803 4.350
Sm U Si O
1 1 2 8
Cartesian
3.659 -0.652 -0.950
0.000 0.000 0.000
0.745 -2.951 2.335
0.461 -2.703 -1.482
0.402 -1.467 1.684
1.494 -1.508 -1.034
2.585 -0.193 3.462
0.783 -2.653 3.964
0.803 -4.211 -0.932
-0.374 -4.101 1.924
2.167 -3.583 1.769
3.926 -1.293 1.273
```

---

SmZrSi2O8 | PBE-GGA | optimized geometry

The structure in POSCAR format:
```
SmZrSi2O8
1.0
-4.910 -2.909 0.966
1.342 0.892 -5.559
4.271 -3.215 2.220
Sm Zr Si O
1 1 2 8
Cartesian
1.915 -1.666 -2.818
0.000 0.000 0.000
-1.212 -3.566 0.445
-1.784 -1.009 -2.296
-0.507 -2.080 0.596
-0.168 -1.047 -2.045
2.160 -3.457 1.330
-0.748 -4.392 1.798
-2.539 -2.433 -2.574
-2.855 -3.458 0.323
-0.736 -4.335 -0.938
1.953 -3.528 -1.458
```

---

SiSnO2 | PBE-GGA | optimized geometry

The structure in POSCAR format:
```
SiSnO2
1.0
2.625 6.063 2.260
3.928 3.970 4.192
5.177 4.483 1.366
Si Sn O
1 1 2
Cartesian
0.000 0.000 0.000
5.865 7.258 3.909
10.774 13.335 7.182
0.955 1.182 0.636
```

Summary:
Energy above the lowest structure with this stoichiometry ... 582 meV/atom

---

SiSnO2 | PBE-GGA | optimized geometry

The structure in POSCAR format:
```
SiSnO2
1.0
5.432 0.000 0.000
0.000 5.432 0.000
2.716 2.716 3.821
Si Sn O
2 2 4
Cartesian
2.716 2.716 0.000
2.716 5.432 1.911
0.000 0.000 0.000
5.432 2.716 1.911
2.716 1.358 0.955
2.716 4.074 0.955
4.074 5.432 2.866
6.790 5.432 2.866
```

Summary:
Energy above the lowest structure with this stoichiometry ... 29 meV/atom

---

SiSnO2 | PBE-GGA | optimized geometry

The structure in POSCAR format:
```
SiSnO2
1.0
2.815 -2.637 1.708
-0.081 -0.775 4.146
-1.236 -3.777 1.416
Si Sn O
1 1 2
Cartesian
0.000 0.000 0.000
0.749 -3.595 3.635
0.374 -1.797 1.818
1.123 -5.392 5.453
```

Summary:
Energy above the lowest structure with this stoichiometry ... 1337 meV/atom

---

SiSnO2 | PBE-GGA | optimized geometry

The structure in POSCAR format:
```
SiSnO2
1.0
1.639 0.000 10.272
-0.820 1.420 10.272
-0.820 -1.420 10.272
Si Sn O
1 1 2
Cartesian
0.000 0.000 15.407
0.000 0.000 0.000
0.000 0.000 26.556
0.000 0.000 4.259
```

Summary:
Energy above the lowest structure with this stoichiometry ... 0 meV/atom

---

Si3SnO | PBE-GGA | optimized geometry

The structure in POSCAR format:
```
Si3SnO
1.0
5.172 0.000 0.000
0.000 5.172 0.000
0.000 0.000 5.172
Si Sn O
3 1 1
Cartesian
0.000 2.586 0.000
0.000 0.000 2.586
2.586 0.000 0.000
0.000 0.000 0.000
2.586 2.586 2.586
```

Summary:
Energy above the lowest structure with this stoichiometry ... 1483 meV/atom

---

Si2Sn2O | PBE-GGA | optimized geometry

The structure in POSCAR format:
```
Si2Sn2O
1.0
-3.331 -5.398 2.417
3.329 -4.004 -4.355
3.152 -0.613 2.973
Si Sn O
4 4 2
Cartesian
3.240 -3.410 -0.918
2.459 -7.173 -0.866
-0.090 -6.605 1.954
0.691 -2.842 1.902
1.664 -4.686 -2.730
-0.237 -7.101 -1.213
-1.666 -4.717 0.793
0.235 -2.301 -0.724
0.000 0.000 0.000
-0.001 -4.701 -0.969
```

Summary:
Energy above the lowest structure with this stoichiometry ... 52 meV/atom

---

For the records above, the corresponding M_tot values read 0.000, 0.000, 1.000, 0.000, 1.000, 0.488, 0.000, 0.000, 0.000, 0.000, 1.212, 0.000 μB per cell.
For the records above, the corresponding calculated total energy values read -92.35, -100.93, -73.95, -148.50, -103.36, -98.53, -23.21, -50.83, -20.19, -25.54, -16.66, -46.44 eV per cell.
For the records above, the corresponding energy relative to the elements, uncorrected values read -1.300, -2.589, -2.173, -2.657, -3.070, -2.896, -0.966, -1.519, -0.211, -1.548, 1.714, 0.118 eV per atom.